A relaxed structure of Pr8Mg3Ni2, computed with PBE-GGA.

Cell and atoms, written as POSCAR:
```
Pr8Mg3Ni2
1.0
3.776 -0.068 -0.311
-0.203 9.824 -4.599
0.017 -0.978 10.705
Mg Pr Ni
3 8 2
direct
0.000 0.226 0.000 Mg
0.000 0.774 0.000 Mg
0.500 0.000 0.000 Mg
0.736 0.425 0.850 Pr
0.284 0.540 0.657 Pr
0.827 0.836 0.673 Pr
0.284 0.116 0.657 Pr
0.716 0.884 0.343 Pr
0.716 0.460 0.343 Pr
0.173 0.164 0.327 Pr
0.264 0.575 0.150 Pr
0.742 0.275 0.549 Ni
0.258 0.725 0.451 Ni
```

Calculated values
* crystal system: monoclinic
* final energy: -4.23 eV/atom
* E_form: -35 meV/atom